[1]
Entry from Alexandria: an optimized crystal structure of Nd2BiO2 (GGA-PBE).

Geometry as POSCAR:
```
Nd2BiO2
1.0
7.586 -0.003 0.000
5.452 5.275 0.000
-6.519 -2.636 2.847
Bi O Nd
1 2 2
direct
0.000 0.000 0.000
0.250 0.750 0.500
0.750 0.250 0.500
0.666 0.666 0.000
0.334 0.334 0.000
```

The calculation puts the total magnetization at 0.00 μB per formula unit. The raw formation energy comes out at -2577 meV/atom.

---

[2]
Entry from Alexandria: an optimized crystal structure of EuHoAgBi (GGA-PBE).

Geometry as POSCAR:
```
EuHoAgBi
1.0
5.404 0.000 0.000
2.702 4.680 0.000
2.702 1.560 4.413
Ag Ho Eu Bi
1 1 1 1
direct
0.250 0.250 0.250
0.000 0.000 0.000
0.500 0.500 0.500
0.750 0.750 0.750
```

The calculation puts the total magnetization at 7.92 μB per formula unit. The value obtained for the formation energy is -472.1 meV per atom.

---

[3]
Entry from Alexandria: an optimized crystal structure of DyNp2NbN4 (GGA-PBE).

Geometry as POSCAR:
```
DyNp2NbN4
1.0
3.366 0.000 0.000
0.000 5.841 0.104
0.000 -2.037 5.427
Dy N Nb Np
1 4 1 2
direct
0.500 0.500 0.000
0.500 0.765 0.759
0.000 0.764 0.251
0.500 0.235 0.241
0.000 0.236 0.749
0.000 0.000 0.000
0.500 0.000 0.500
0.000 0.500 0.500
```

The calculation puts the total magnetization at 5.80 μB per formula unit. The raw formation energy comes out at -1246 meV/atom.

---

[4]
Entry from Alexandria: an optimized crystal structure of MnV8Mo2 (GGA-PBE).

Geometry as POSCAR:
```
MnV8Mo2
1.0
4.675 -0.211 -0.147
0.372 6.905 1.894
0.372 4.155 5.831
V Mo Mn
8 2 1
direct
0.747 0.500 0.500
0.000 0.596 0.085
0.000 0.085 0.596
0.000 0.404 0.915
0.253 0.500 0.500
0.000 0.915 0.404
0.500 0.908 0.908
0.500 0.092 0.092
0.500 0.301 0.301
0.500 0.699 0.699
0.000 0.000 0.000
```

The calculation puts the total magnetization at 0.00 μB per formula unit. The value obtained for the formation energy is 13.4 meV per atom. The offset from the most stable computed form comes out at 0.0 kJ/mol of atoms.

---

[5]
Entry from Alexandria: an optimized crystal structure of Mg2RhBr (GGA-PBE).

Geometry as POSCAR:
```
Mg2RhBr
1.0
-3.996 -1.702 1.924
-2.898 2.894 2.407
-4.217 1.200 -1.830
Rh Mg Br
1 2 1
direct
0.500 0.500 0.500
0.250 0.250 0.250
0.750 0.750 0.750
0.000 0.000 0.000
```

The calculation puts the total magnetization at 0.00 μB per formula unit. The raw formation energy comes out at -52 meV/atom. The offset from the most stable computed form comes out at 54.3 kJ/mol of atoms.

---

[6]
Entry from Alexandria: an optimized crystal structure of NaTa2Ti (GGA-PBE).

Geometry as POSCAR:
```
NaTa2Ti
1.0
1.304 -4.130 1.812
0.633 -0.436 4.632
-3.037 -2.504 2.559
Ti Ta Na
1 2 1
direct
0.500 0.500 0.500
0.250 0.250 0.250
0.750 0.750 0.750
0.000 0.000 0.000
```

The calculation puts the total magnetization at 0.00 μB per formula unit. The value obtained for the formation energy is 917.8 meV per atom. The offset from the most stable computed form comes out at 0.0 kJ/mol of atoms.

---

[7]
Entry from Alexandria: an optimized crystal structure of Ba4NaLi3 (GGA-PBE).

Geometry as POSCAR:
```
Ba4NaLi3
1.0
5.019 0.000 0.000
0.000 5.399 0.000
0.000 0.000 13.819
Li Na Ba
3 1 4
direct
0.000 0.500 0.562
0.000 0.000 0.439
0.500 0.000 0.931
0.500 0.500 0.065
0.000 0.500 0.846
0.500 0.500 0.362
0.500 0.000 0.642
0.000 0.000 0.153
```

The calculation puts the total magnetization at 0.00 μB per formula unit. The value obtained for the formation energy is 46.8 meV per atom.

---

[8]
Entry from Alexandria: an optimized crystal structure of BeReSi2 (GGA-PBE).

Geometry as POSCAR:
```
BeReSi2
1.0
-1.456 2.561 -1.108
-1.680 -1.803 -1.959
-3.512 -0.496 3.469
Si Re Be
2 1 1
direct
0.500 0.500 0.264
0.000 0.000 0.998
0.500 0.500 0.754
0.000 0.000 0.484
```

The calculation puts the total magnetization at 0.00 μB per formula unit. The raw formation energy comes out at -110 meV/atom.

---

[9]
Entry from Alexandria: an optimized crystal structure of CsNaGa2I (GGA-PBE).

Geometry as POSCAR:
```
CsNaGa2I
1.0
5.655 0.000 0.000
0.000 6.488 0.000
0.000 0.000 5.655
I Ga Na Cs
1 2 1 1
direct
0.000 0.500 0.000
0.500 0.000 0.000
0.000 0.000 0.500
0.000 0.000 0.000
0.500 0.500 0.500
```

The calculation puts the total magnetization at 0.00 μB per formula unit. The raw formation energy comes out at -38 meV/atom.

---

[10]
Entry from Alexandria: an optimized crystal structure of CaAcPtO4 (GGA-PBE).

Geometry as POSCAR:
```
CaAcPtO4
1.0
6.352 0.000 0.000
-3.176 6.474 -0.452
0.000 -3.897 6.409
O Pt Ca Ac
8 2 2 2
direct
0.802 0.185 0.842
0.258 0.515 0.674
0.258 0.515 0.341
0.742 0.485 0.659
0.383 0.185 0.842
0.198 0.815 0.158
0.617 0.815 0.158
0.742 0.485 0.326
0.500 0.500 0.500
0.000 0.500 0.500
0.209 0.417 0.959
0.791 0.583 0.041
0.500 0.000 0.500
0.500 0.000 0.000
```

The calculation puts the total magnetization at 0.84 μB per formula unit. The raw formation energy comes out at -2059 meV/atom.

---

[11]
Entry from Alexandria: an optimized crystal structure of Rb3Na5Hg2 (GGA-PBE).

Geometry as POSCAR:
```
Rb3Na5Hg2
1.0
7.732 0.000 0.000
3.866 10.864 -0.933
3.866 1.984 10.722
Hg Na Rb
4 10 6
direct
0.158 0.711 0.973
0.842 0.289 0.027
0.658 0.973 0.711
0.342 0.027 0.289
0.601 0.232 0.565
0.101 0.565 0.232
0.984 0.266 0.266
0.250 0.500 0.500
0.399 0.768 0.435
0.484 0.266 0.266
0.750 0.500 0.500
0.016 0.734 0.734
0.516 0.734 0.734
0.899 0.435 0.768
0.856 0.904 0.384
0.356 0.384 0.904
0.644 0.616 0.096
0.144 0.096 0.616
0.750 0.000 0.000
0.250 0.000 0.000
```

The calculation puts the total magnetization at 0.00 μB per formula unit. The value obtained for the formation energy is -60.6 meV per atom. The offset from the most stable computed form comes out at 3.5 kJ/mol of atoms.

---

[12]
Entry from Alexandria: an optimized crystal structure of PmLuPa (GGA-PBE).

Geometry as POSCAR:
```
PmLuPa
1.0
3.399 0.000 0.000
0.000 3.399 0.000
-1.699 -1.699 7.595
Lu Pa Pm
1 1 1
direct
0.939 0.939 0.877
0.286 0.286 0.572
0.626 0.626 0.251
```

The calculation puts the total magnetization at 0.01 μB per formula unit. The value obtained for the formation energy is 161.6 meV per atom. The offset from the most stable computed form comes out at 2.6 kJ/mol of atoms.